Record 1
The following is a DFT calculation (PBEsol) of an optimized crystal structure of FeIr2.

Computed properties:
Its crystal system is orthorhombic. The density is 18.63 g/cm3. The space group is Cmcm (63). The formation energy is -0.03 eV/atom.

Cell lengths 5.932, 5.932, 3.753 Å; angles 90.00, 90.00, 143.54 degrees
Element x y z (fractional)
Fe 0.082 0.918 0.750
Fe 0.918 0.082 0.250
Ir 0.249 0.751 0.250
Ir 0.419 0.581 0.750
Ir 0.581 0.419 0.250
Ir 0.751 0.249 0.750

***

Record 2
The following is a DFT calculation (PBEsol) of an optimized crystal structure of Li3Mn4O8.

Computed properties:
Its crystal system is monoclinic. The density is 4.47 g/cm3. The calculation puts the energy above the most stable polymorph in this dataset at 0 meV/atom. As for the uncorrected formation energy: -1.79 eV per atom. The space group is C2/m (12).

Cell lengths 5.621, 5.621, 6.102 Å; angles 119.80, 119.80, 60.07 degrees
Element x y z (fractional)
Li 0.000 0.000 0.000
Li 0.149 0.149 0.434
Li 0.851 0.851 0.566
Mn 0.000 0.500 0.000
Mn 0.500 0.000 0.000
Mn 0.500 0.500 0.000
Mn 0.500 0.500 0.500
O 0.254 0.729 0.220
O 0.257 0.257 0.227
O 0.262 0.262 0.801
O 0.271 0.746 0.780
O 0.729 0.254 0.220
O 0.738 0.738 0.199
O 0.743 0.743 0.773
O 0.746 0.271 0.780

***

Record 3
The following is a DFT calculation (PBEsol) of an optimized crystal structure of LiIn2Au.

Computed properties:
Its crystal system is orthorhombic. The density is 9.22 g/cm3. The space group is Pmm2 (25). The formation energy is -0.27 eV/atom.

Cell lengths 3.329, 3.637, 6.450 Å; angles 90.00, 90.00, 90.00 degrees
Element x y z (fractional)
Li 0.000 0.000 0.000
In 0.000 0.000 0.439
In 0.500 0.500 0.749
Au 0.500 0.500 0.189

***

Record 4
The following is a DFT calculation (PBEsol) of an optimized crystal structure of Mn3As.

Computed properties:
Its crystal system is tetragonal. The density is 8.69 g/cm3. The space group is P4/mmm (123). The formation energy is 0.07 eV/atom.

Cell lengths 2.864, 2.864, 5.587 Å; angles 90.00, 90.00, 90.00 degrees
Element x y z (fractional)
Mn 0.000 0.000 0.000
Mn 0.500 0.500 0.254
Mn 0.500 0.500 0.746
As 0.000 0.000 0.500

***

Record 5
The following is a DFT calculation (PBEsol) of an optimized crystal structure of LiCu2Ni.

Computed properties:
Its crystal system is cubic. The density is 7.28 g/cm3. The calculation puts the energy above the most stable polymorph in this dataset at 42 meV/atom. The space group is Fm-3m (225). The formation energy is 0.02 eV/atom.

Cell lengths 3.962, 3.962, 3.962 Å; angles 60.00, 60.00, 60.00 degrees
Element x y z (fractional)
Li 0.000 0.000 0.000
Cu 0.250 0.250 0.250
Cu 0.750 0.750 0.750
Ni 0.500 0.500 0.500

***

Record 6
The following is a DFT calculation (PBEsol) of an optimized crystal structure of FeNi2Rh.

Computed properties:
Its crystal system is monoclinic. The density is 9.91 g/cm3. The space group is P2/m (10). The formation energy is 0.02 eV/atom.

Cell lengths 4.353, 2.572, 4.356 Å; angles 90.00, 108.49, 90.00 degrees
Element x y z (fractional)
Fe 0.000 0.000 0.000
Ni 0.000 0.500 0.500
Ni 0.500 0.000 0.500
Rh 0.500 0.500 0.000

***

Record 7
The following is a DFT calculation (PBEsol) of an optimized crystal structure of OsW2Au.

Computed properties:
Its crystal system is cubic. The density is 19.99 g/cm3. The calculation puts the energy above the most stable polymorph in this dataset at 499 meV/atom. The space group is Fm-3m (225). The formation energy is 0.69 eV/atom.

Cell lengths 4.460, 4.460, 4.460 Å; angles 60.00, 60.00, 60.00 degrees
Element x y z (fractional)
Os 0.000 0.000 0.000
W 0.250 0.250 0.250
W 0.750 0.750 0.750
Au 0.500 0.500 0.500

***

Record 8
The following is a DFT calculation (PBEsol) of an optimized crystal structure of TaTlMo3.

Computed properties:
Its crystal system is cubic. The density is 10.49 g/cm3. The space group is Pm-3m (221). The formation energy is 1.84 eV/atom.

Cell lengths 4.741, 4.741, 4.741 Å; angles 90.00, 90.00, 90.00 degrees
Element x y z (fractional)
Ta 0.000 0.000 0.000
Tl 0.500 0.500 0.500
Mo 0.000 0.000 0.500
Mo 0.000 0.500 0.000
Mo 0.500 0.000 0.000